Entry 1:
Below is crystalline TlInAgBi2 at its relaxed geometry, with properties calculated at the PBE-GGA level.

a b c (Å): 5.7972 5.7972 5.7202
angles (deg): 90.00 90.00 90.00
Element x y z (fractional)
Tl 0.0000 0.0000 0.0000
In 0.0000 0.0000 0.5000
Ag 0.5000 0.5000 0.0000
Bi 0.0000 0.5000 0.5000
Bi 0.5000 0.0000 0.5000

Summary:
ΔE_f in eV per atom: 0.66
Magnetization in μB/cell: 0.00
Total DFT energy (no corrections) in Ry per atom: -0.18227

=====

Entry 2:
Below is crystalline Ag3BiIr at its relaxed geometry, with properties calculated at the PBE-GGA level.

a b c (Å): 5.0548 5.0548 5.0548
angles (deg): 90.00 90.00 90.00
Element x y z (fractional)
Ag 0.0000 0.0000 0.5000
Ag 0.0000 0.5000 0.0000
Ag 0.5000 0.0000 0.0000
Bi 0.5000 0.5000 0.5000
Ir 0.0000 0.0000 0.0000

Summary:
Excess energy over the best structure of this formula in the dataset in kJ per mole of atoms: 0.0
ΔE_f in eV per atom: 1.00
Magnetization in μB/cell: 0.89
Total DFT energy (no corrections) in Ry per atom: -0.23949

=====

Entry 3:
Below is crystalline AgBiIr2 at its relaxed geometry, with properties calculated at the PBE-GGA level.

a b c (Å): 5.9925 5.9925 5.9925
angles (deg): 102.29 102.29 125.05
Element x y z (fractional)
Ag 0.0000 0.0000 0.0000
Ag 0.7500 0.2500 0.5000
Bi 0.2500 0.7500 0.5000
Bi 0.5000 0.5000 0.0000
Ir 0.1330 0.1250 0.5080
Ir 0.3750 0.8670 0.9920
Ir 0.6170 0.6250 0.4920
Ir 0.8750 0.3830 0.0080

Summary:
ΔE_f in eV per atom: 0.78
Magnetization in μB/cell: 1.23
Total DFT energy (no corrections) in Ry per atom: -0.39213

=====

Entry 4:
Below is crystalline AgBi2Ir2 at its relaxed geometry, with properties calculated at the PBE-GGA level.

a b c (Å): 7.4902 7.4902 3.7235
angles (deg): 90.00 90.00 90.00
Element x y z (fractional)
Ag 0.0000 0.0000 0.0000
Ag 0.5000 0.5000 0.0000
Bi 0.1645 0.3355 0.5000
Bi 0.3355 0.8355 0.5000
Bi 0.6645 0.1645 0.5000
Bi 0.8355 0.6645 0.5000
Ir 0.1346 0.6346 0.0000
Ir 0.3654 0.1346 0.0000
Ir 0.6346 0.8654 0.0000
Ir 0.8654 0.3654 0.0000

Summary:
ΔE_f in eV per atom: 0.34
Magnetization in μB/cell: 0.00
Total DFT energy (no corrections) in Ry per atom: -0.39156

=====

Which formula does entry 3 have?
AgBiIr2

=====

Which of these has the highest total DFT energy (no corrections)?
TlInAgBi2

=====

Look up the magnetization of the first one.
0.00 μB/cell